# 1
# Pr3Nd4PuTe8 (PBE, relaxed)
data_Pr3Nd4PuTe8
_cell_length_a 9.0139
_cell_length_b 9.0139
_cell_length_c 22.0454
_cell_angle_alpha 90.00
_cell_angle_beta 90.00
_cell_angle_gamma 120.00
_space_group_name_H-M_alt 'R -3 m'
_space_group_IT_number 166
_space_group_name_Hall '-R 3 2"'
loop_
_atom_site_label
_atom_site_fract_x
_atom_site_fract_y
_atom_site_fract_z
Pr1 0.0000 0.5000 0.0000
Nd1 0.0000 0.0000 0.5000
Nd2 0.0000 0.5000 0.5000
Pu1 0.0000 0.0000 0.0000
Te1 0.0000 0.0000 0.2491
Te2 0.0041 0.5021 0.7498
# Uncorrected energy = -285.55 eV/cell
# Density = 7.3 g/cm3

---

# 2
# SrZn4Ag4 (PBE, relaxed)
data_SrZn4Ag4
_cell_length_a 8.990
_cell_length_b 8.990
_cell_length_c 4.754
_cell_angle_alpha 90.00
_cell_angle_beta 90.00
_cell_angle_gamma 90.00
_space_group_name_H-M_alt 'I 4/m'
_space_group_IT_number 87
_space_group_name_Hall '-I 4'
loop_
_atom_site_label
_atom_site_fract_x
_atom_site_fract_y
_atom_site_fract_z
Sr1 0.000 0.000 0.000
Zn1 0.165 0.279 0.500
Ag1 0.102 0.386 0.000
# Uncorrected energy = -37.55 eV/cell
# Density = 6.7 g/cm3
# Energy relative to the elements = -0.07 eV per atom

---

# 3
# NiHSe2 (PBE, relaxed)
data_NiHSe2
_cell_length_a 6.406
_cell_length_b 3.306
_cell_length_c 6.112
_cell_angle_alpha 90.00
_cell_angle_beta 115.87
_cell_angle_gamma 90.00
_space_group_name_H-M_alt 'C 1 2/m 1'
_space_group_IT_number 12
loop_
_space_group_symop_operation_xyz
'x,y,z'
'-x,-y,-z'
'-x,y,-z'
'x,-y,z'
'x+1/2,y+1/2,z'
'-x+1/2,-y+1/2,-z'
'-x+1/2,y+1/2,-z'
'x+1/2,-y+1/2,z'
loop_
_atom_site_label
_atom_site_fract_x
_atom_site_fract_y
_atom_site_fract_z
Ni1 0.000 0.000 0.000
H1 0.000 0.500 0.500
Se1 0.209 0.000 0.764
# Uncorrected energy = -30.95 eV/cell
# Energy relative to the lowest polymorph listed for this composition = 289.2 meV per atom
# Density = 6.2 g/cm3

---

# 4
# BPRh2 (PBE, relaxed)
data_BPRh2
_cell_length_a 4.959
_cell_length_b 4.959
_cell_length_c 9.862
_cell_angle_alpha 90.00
_cell_angle_beta 90.00
_cell_angle_gamma 90.00
_space_group_name_H-M_alt 'I -4 2 d'
_space_group_IT_number 122
_space_group_name_Hall 'I -4 2bw'
loop_
_atom_site_label
_atom_site_fract_x
_atom_site_fract_y
_atom_site_fract_z
B1 0.000 0.000 0.000
P1 0.000 0.000 0.500
Rh1 0.208 0.250 0.125
# Uncorrected energy = -110.71 eV/cell
# Energy relative to the lowest polymorph listed for this composition = 0.0 meV per atom
# Density = 6.8 g/cm3
# Energy relative to the elements = -0.22 eV per atom

---

# 5
# TbYAs2 (PBE, relaxed)
data_TbYAs2
_cell_length_a 5.839
_cell_length_b 5.839
_cell_length_c 11.688
_cell_angle_alpha 90.00
_cell_angle_beta 90.00
_cell_angle_gamma 90.00
_space_group_name_H-M_alt 'I 41/a m d'
_space_group_IT_number 141
loop_
_space_group_symop_operation_xyz
'x,y,z'
'-x,-y,-z'
'-y+1/4,x+3/4,z+1/4'
'y+1/4,-x+3/4,-z+1/4'
'-x+1/2,-y,z+1/2'
'x+1/2,y,-z+1/2'
'y+1/4,-x+1/4,z+3/4'
'-y+1/4,x+1/4,-z+3/4'
'x,-y,-z'
'-x,y,z'
'-y+1/4,-x+1/4,-z+3/4'
'y+1/4,x+1/4,z+3/4'
'-x+1/2,y,-z+1/2'
'x+1/2,-y,z+1/2'
'y+1/4,x+3/4,-z+1/4'
'-y+1/4,-x+3/4,z+1/4'
'x+1/2,y+1/2,z+1/2'
'-x+1/2,-y+1/2,-z+1/2'
'-y+3/4,x+1/4,z+3/4'
'y+3/4,-x+1/4,-z+3/4'
'-x,-y+1/2,z'
'x,y+1/2,-z'
'y+3/4,-x+3/4,z+1/4'
'-y+3/4,x+3/4,-z+1/4'
'x+1/2,-y+1/2,-z+1/2'
'-x+1/2,y+1/2,z+1/2'
'-y+3/4,-x+3/4,-z+1/4'
'y+3/4,x+3/4,z+1/4'
'-x,y+1/2,-z'
'x,-y+1/2,z'
'y+3/4,x+1/4,-z+3/4'
'-y+3/4,-x+1/4,z+3/4'
loop_
_atom_site_label
_atom_site_fract_x
_atom_site_fract_y
_atom_site_fract_z
Tb1 0.000 0.250 0.375
Y1 0.000 0.250 0.875
As1 0.000 0.250 0.125
# Uncorrected energy = -106.40 eV/cell
# Energy relative to the lowest polymorph listed for this composition = 0.0 meV per atom
# Density = 6.6 g/cm3
# Energy relative to the elements = -1.55 eV per atom

---

# 6
# Ca2LaRe (PBE, relaxed)
data_Ca2LaRe
_cell_length_a 3.291
_cell_length_b 5.292
_cell_length_c 6.251
_cell_angle_alpha 90.00
_cell_angle_beta 103.85
_cell_angle_gamma 90.00
_space_group_name_H-M_alt 'P 1 2/m 1'
_space_group_IT_number 10
loop_
_space_group_symop_operation_xyz
'x,y,z'
'-x,-y,-z'
'-x,y,-z'
'x,-y,z'
loop_
_atom_site_label
_atom_site_fract_x
_atom_site_fract_y
_atom_site_fract_z
Ca1 0.094 0.000 0.277
La1 0.500 0.500 0.000
Re1 0.500 0.500 0.500
# Uncorrected energy = -18.71 eV/cell
# Energy relative to the lowest polymorph listed for this composition = 262.7 meV per atom
# Density = 6.4 g/cm3
# Energy relative to the elements = 0.67 eV per atom

---

# 7
# Ho2HfRu (PBE, relaxed)
data_Ho2HfRu
_cell_length_a 3.2633
_cell_length_b 3.2633
_cell_length_c 31.3802
_cell_angle_alpha 90.00
_cell_angle_beta 90.00
_cell_angle_gamma 120.00
_space_group_name_H-M_alt 'R -3 m'
_space_group_IT_number 166
_space_group_name_Hall '-R 3 2"'
loop_
_atom_site_label
_atom_site_fract_x
_atom_site_fract_y
_atom_site_fract_z
Ho1 0.0000 0.0000 0.1012
Hf1 0.0000 0.0000 0.0000
Ru1 0.0000 0.0000 0.5000
# Uncorrected energy = -81.98 eV/cell
# Density = 10.5 g/cm3
# Energy relative to the elements = 0.26 eV per atom

---

# 8
# Sb4PPt (PBE, relaxed)
data_Sb4PPt
_cell_length_a 8.514
_cell_length_b 8.514
_cell_length_c 8.514
_cell_angle_alpha 90.00
_cell_angle_beta 90.00
_cell_angle_gamma 90.00
_space_group_name_H-M_alt 'F -4 3 m'
_space_group_IT_number 216
_space_group_name_Hall 'F -4 2 3'
loop_
_atom_site_label
_atom_site_fract_x
_atom_site_fract_y
_atom_site_fract_z
Sb1 0.125 0.125 0.125
P1 0.250 0.250 0.750
Pt1 0.000 0.000 0.500
# Uncorrected energy = -89.84 eV/cell
# Density = 7.7 g/cm3

---

# 9
# AcLaGaCo (PBE, relaxed)
data_AcLaGaCo
_cell_length_a 7.490
_cell_length_b 7.490
_cell_length_c 7.490
_cell_angle_alpha 90.00
_cell_angle_beta 90.00
_cell_angle_gamma 90.00
_space_group_name_H-M_alt 'F -4 3 m'
_space_group_IT_number 216
_space_group_name_Hall 'F -4 2 3'
loop_
_atom_site_label
_atom_site_fract_x
_atom_site_fract_y
_atom_site_fract_z
Ac1 0.000 0.000 0.000
La1 0.000 0.000 0.500
Ga1 0.250 0.250 0.750
Co1 0.250 0.250 0.250
# Uncorrected energy = -78.72 eV/cell
# Energy relative to the lowest polymorph listed for this composition = 172.0 meV per atom
# Density = 7.8 g/cm3
# Energy relative to the elements = -0.13 eV per atom

---

# 10
# BaLaMgIn (PBE, relaxed)
data_BaLaMgIn
_cell_length_a 8.230
_cell_length_b 8.230
_cell_length_c 8.230
_cell_angle_alpha 90.00
_cell_angle_beta 90.00
_cell_angle_gamma 90.00
_space_group_name_H-M_alt 'F -4 3 m'
_space_group_IT_number 216
_space_group_name_Hall 'F -4 2 3'
loop_
_atom_site_label
_atom_site_fract_x
_atom_site_fract_y
_atom_site_fract_z
Ba1 0.000 0.000 0.000
La1 0.000 0.000 0.500
Mg1 0.250 0.250 0.250
In1 0.250 0.250 0.750
# Uncorrected energy = -48.20 eV/cell
# Density = 4.9 g/cm3
# Energy relative to the elements = -0.22 eV per atom

---

# 11
# Co2ReTc (PBE, relaxed)
data_Co2ReTc
_cell_length_a 3.048
_cell_length_b 3.048
_cell_length_c 5.549
_cell_angle_alpha 90.00
_cell_angle_beta 90.00
_cell_angle_gamma 90.00
_space_group_name_H-M_alt 'P 4 m m'
_space_group_IT_number 99
loop_
_space_group_symop_operation_xyz
'x,y,z'
'-y,x,z'
'-x,-y,z'
'y,-x,z'
'-x,y,z'
'y,x,z'
'x,-y,z'
'-y,-x,z'
loop_
_atom_site_label
_atom_site_fract_x
_atom_site_fract_y
_atom_site_fract_z
Co1 0.000 0.000 0.000
Co2 0.500 0.500 0.187
Re1 0.000 0.000 0.454
Tc1 0.500 0.500 0.726
# Uncorrected energy = -36.47 eV/cell
# Energy relative to the lowest polymorph listed for this composition = 199.5 meV per atom
# Density = 13.0 g/cm3
# Energy relative to the elements = 0.14 eV per atom

---

# 12
# TbPm5PrDy2 (PBE, relaxed)
data_TbPm5PrDy2
_cell_length_a 5.678
_cell_length_b 20.314
_cell_length_c 10.763
_cell_angle_alpha 90.00
_cell_angle_beta 90.00
_cell_angle_gamma 90.00
_space_group_name_H-M_alt 'C m c 21'
_space_group_IT_number 36
loop_
_space_group_symop_operation_xyz
'x,y,z'
'-x,-y,z+1/2'
'-x,y,z'
'x,-y,z+1/2'
'x+1/2,y+1/2,z'
'-x+1/2,-y+1/2,z+1/2'
'-x+1/2,y+1/2,z'
'x+1/2,-y+1/2,z+1/2'
loop_
_atom_site_label
_atom_site_fract_x
_atom_site_fract_y
_atom_site_fract_z
Tb1 0.000 0.088 0.000
Pm1 0.000 0.022 0.286
Pm2 0.000 0.106 0.570
Pm3 0.000 0.203 0.248
Pm4 0.000 0.218 0.852
Pm5 0.000 0.483 0.569
Pr1 0.000 0.297 0.553
Dy1 0.000 0.383 0.865
Dy2 0.000 0.390 0.281
# Uncorrected energy = -164.24 eV/cell
# Density = 7.2 g/cm3
# Energy relative to the elements = 0.15 eV per atom